Record 1
The following is a DFT calculation (PBE-GGA) of a relaxed AcTb4Pr5 crystal.

Properties
Its electronic total energy is -45.49 eV/cell. Its symmetry is P4/mmm (123). The formation enthalpy at 0 K is 103 meV per atom.

Lattice parameters (Å, degrees): 4.256 4.256 19.584 90.00 90.00 90.00
Positions (direct):
1 Ac 0.000 0.000 0.000
2 Tb 0.000 0.000 0.212
3 Tb 0.000 0.000 0.404
4 Tb 0.000 0.000 0.596
5 Tb 0.000 0.000 0.788
6 Pr 0.500 0.500 0.120
7 Pr 0.500 0.500 0.307
8 Pr 0.500 0.500 0.500
9 Pr 0.500 0.500 0.693
10 Pr 0.500 0.500 0.880

=====

Record 2
The following is a DFT calculation (PBE-GGA) of a relaxed Ac2Tb2Pr7 crystal.

Properties
Its electronic total energy is -49.33 eV/cell. Its symmetry is C2/m (12). The formation enthalpy at 0 K is 146 meV per atom.

Lattice parameters (Å, degrees): 9.103 6.279 9.103 63.20 96.80 116.80
Positions (direct):
1 Ac 0.221 0.844 0.779
2 Ac 0.779 0.156 0.221
3 Tb 0.768 0.500 0.768
4 Tb 0.232 0.500 0.232
5 Pr 0.408 0.182 0.053
6 Pr 0.053 0.818 0.408
7 Pr 0.592 0.818 0.947
8 Pr 0.947 0.182 0.592
9 Pr 0.577 0.355 0.423
10 Pr 0.000 0.000 0.000
11 Pr 0.423 0.645 0.577

=====

Record 3
The following is a DFT calculation (PBE-GGA) of a relaxed Ac4TbPr8 crystal.

Properties
Its electronic total energy is -52.85 eV/cell. Its symmetry is Pm-3m (221). The formation enthalpy at 0 K is 496 meV per atom.

Lattice parameters (Å, degrees): 11.660 11.660 8.245 90.00 135.00 120.00
Positions (direct):
1 Ac 0.000 0.000 0.000
2 Ac 0.000 0.500 0.000
3 Ac 0.500 0.500 0.000
4 Ac 0.500 0.000 0.000
5 Tb 0.000 0.500 0.500
6 Pr 0.516 0.758 0.274
7 Pr 0.484 0.242 0.726
8 Pr 0.484 0.242 0.242
9 Pr 0.000 0.242 0.758
10 Pr 0.516 0.758 0.758
11 Pr 0.000 0.758 0.758
12 Pr 0.000 0.242 0.242
13 Pr 0.000 0.758 0.242

=====

Record 4
The following is a DFT calculation (PBE-GGA) of a relaxed AcTb8Pr2 crystal.

Properties
Its electronic total energy is -48.98 eV/cell. Its symmetry is C2/m (12). The formation enthalpy at 0 K is 158 meV per atom.

Lattice parameters (Å, degrees): 6.819 10.463 10.463 37.91 58.23 58.23
Positions (direct):
1 Ac 0.000 0.000 0.000
2 Tb 0.763 0.176 0.640
3 Tb 0.237 0.360 0.824
4 Tb 0.811 0.241 0.241
5 Tb 0.189 0.759 0.759
6 Tb 0.763 0.640 0.176
7 Tb 0.237 0.824 0.360
8 Tb 0.268 0.412 0.412
9 Tb 0.732 0.588 0.588
10 Pr 0.369 0.210 0.210
11 Pr 0.631 0.790 0.790